(1)
First-principles (PBE) data for Os2Ru2Au after structural relaxation, as listed in the Alexandria database.

Computed properties:
The value obtained for the formation enthalpy at 0 K is 0.423 eV per atom. For the uncorrected energy, the calculation gives -8.43 eV/atom.

a b c (Å): 7.555 7.555 2.730
angles (deg): 90.00 90.00 90.00
Fractional coordinates of all 10 atoms:
Au 0.500 0.500 0.000
Au 0.000 0.000 0.000
Ru 0.624 0.124 0.000
Ru 0.376 0.876 0.000
Ru 0.124 0.376 0.000
Ru 0.876 0.624 0.000
Os 0.667 0.833 0.500
Os 0.833 0.333 0.500
Os 0.333 0.167 0.500
Os 0.167 0.667 0.500

(2)
First-principles (PBE) data for OsRuAu after structural relaxation, as listed in the Alexandria database.

Computed properties:
The value obtained for the formation enthalpy at 0 K is 0.951 eV per atom. For the uncorrected energy, the calculation gives -6.98 eV/atom.

a b c (Å): 4.263 4.263 4.263
angles (deg): 60.00 60.00 60.00
Fractional coordinates of all 3 atoms:
Au 0.500 0.500 0.500
Ru 0.000 0.000 0.000
Os 0.750 0.750 0.750

(3)
First-principles (PBE) data for OsRuAu after structural relaxation, as listed in the Alexandria database.

Computed properties:
The value obtained for the formation enthalpy at 0 K is 0.275 eV per atom. For the uncorrected energy, the calculation gives -7.65 eV/atom.

a b c (Å): 2.775 2.775 6.954
angles (deg): 90.00 90.00 120.00
Fractional coordinates of all 3 atoms:
Os 0.667 0.333 0.355
Au 0.000 0.000 0.999
Ru 0.333 0.667 0.646